(1)
NaSmZnF6: optimized geometry, GGA-PBE. Values from VASP.

Quantum ESPRESSO input file:
```
&SYSTEM
  ibrav = 0, nat = 18, ntyp = 4
/
ATOMIC_SPECIES
Na 22.99 Na.upf
Sm 150.36 Sm.upf
Zn 65.41 Zn.upf
F 19.00 F.upf
ATOMIC_POSITIONS crystal
Na 0.0000 0.0000 0.0000
Na 0.0000 0.0000 0.5000
Sm 0.3333 0.6667 0.2500
Sm 0.6667 0.3333 0.7500
Zn 0.3333 0.6667 0.7500
Zn 0.6667 0.3333 0.2500
F 0.0251 0.3653 0.6335
F 0.0251 0.6599 0.8665
F 0.3401 0.3653 0.8665
F 0.3401 0.9749 0.6335
F 0.3653 0.0251 0.1335
F 0.3653 0.3401 0.3665
F 0.6347 0.6599 0.6335
F 0.6347 0.9749 0.8665
F 0.6599 0.0251 0.3665
F 0.6599 0.6347 0.1335
F 0.9749 0.3401 0.1335
F 0.9749 0.6347 0.3665
CELL_PARAMETERS angstrom
5.7780 0.0000 0.0000
-2.8890 5.0039 0.0000
0.0000 0.0000 9.4362
```

- Formation energy without anion corrections: -3.146 eV/atom
- Total energy: -5.206 eV/atom
- Space-group type: No. 163
- DOS(E_F): 0.000 states/eV/atom



(2)
Na2SnF2: optimized geometry, GGA-PBE. Values from VASP.

Quantum ESPRESSO input file:
```
&SYSTEM
  ibrav = 0, nat = 10, ntyp = 3
/
ATOMIC_SPECIES
Na 22.99 Na.upf
Sn 118.71 Sn.upf
F 19.00 F.upf
ATOMIC_POSITIONS crystal
Na 0.0000 0.5000 0.2500
Na 0.0000 0.5000 0.7500
Na 0.5000 0.0000 0.2500
Na 0.5000 0.0000 0.7500
Sn 0.0000 0.0000 0.0000
Sn 0.5000 0.5000 0.5000
F 0.0000 0.0000 0.2990
F 0.0000 0.0000 0.7010
F 0.5000 0.5000 0.2010
F 0.5000 0.5000 0.7990
CELL_PARAMETERS angstrom
4.0818 0.0000 0.0000
0.0000 4.0818 0.0000
0.0000 0.0000 14.7808
```

- Formation energy without anion corrections: -1.608 eV/atom
- Total energy: -3.685 eV/atom
- Space-group type: No. 139
- Energy relative to the lowest polymorph listed for this composition: 0.0 meV/atom
- DOS(E_F): 0.416 states/eV/atom